Record 1
Compound: CsCu2Sb
Source: Alexandria via LeMat-Bulk
Functional: PBE
Structure: relaxed

The structure in POSCAR format:
```
CsCu2Sb
1.0
4.544 0.000 0.000
2.272 3.935 0.000
2.272 1.312 6.555
Cs Sb Cu
1 1 2
direct
0.000 0.000 0.000
0.500 0.500 0.500
0.177 0.177 0.470
0.823 0.823 0.530
```

Output
The total energy comes out at -3.3907 eV/atom.

***

Record 2
Compound: FeCo2Mo
Source: Alexandria via LeMat-Bulk
Functional: PBE
Structure: relaxed

The structure in POSCAR format:
```
FeCo2Mo
1.0
-1.778 1.814 -3.240
-4.025 -0.516 -0.695
-2.606 3.136 0.571
Co Fe Mo
2 1 1
direct
0.000 0.000 0.000
0.250 0.250 0.250
0.500 0.500 0.500
0.750 0.750 0.750
```

Output
The total energy comes out at -8.2053 eV/atom. Its offset from the most stable computed form is 0.62 eV per formula unit.

***

Record 3
Compound: NdDy3Y6Sc2
Source: Alexandria via LeMat-Bulk
Functional: PBE
Structure: relaxed

The structure in POSCAR format:
```
NdDy3Y6Sc2
1.0
6.098 0.002 0.007
-3.046 5.283 0.007
-1.025 -1.775 11.503
Nd Dy Y Sc
1 3 6 2
direct
0.000 0.000 0.000
0.167 0.833 0.500
0.833 0.167 0.500
0.500 0.500 0.500
0.917 0.581 0.753
0.747 0.747 0.247
0.083 0.419 0.247
0.581 0.917 0.753
0.253 0.253 0.753
0.419 0.083 0.247
0.333 0.667 0.000
0.667 0.333 0.000
```

Output
The total energy comes out at -5.7933 eV/atom.

***

Record 4
Compound: Cr2IrCl
Source: Alexandria via LeMat-Bulk
Functional: PBE
Structure: relaxed

The structure in POSCAR format:
```
Cr2IrCl
1.0
4.398 0.000 0.000
2.199 3.809 0.000
2.199 1.270 3.591
Cr Ir Cl
2 1 1
direct
0.000 0.000 0.000
0.750 0.750 0.750
0.250 0.250 0.250
0.500 0.500 0.500
```

Output
The total energy comes out at -6.7017 eV/atom. Its offset from the most stable computed form is 2.84 eV per formula unit.

***

| no. | DOS at the Fermi energy (states/eV/atom) |
| --- | --- |
| 1 | 0.251 |
| 2 | 1.915 |
| 3 | 1.478 |
| 4 | 1.622 |